1.
A plane-wave DFT calculation with PBE was carried out for an optimized crystal structure of Mg2TlP2.

abc: 8.039 8.039 3.077
angles: 90.00 90.00 90.00
Fractional coordinates of all 10 atoms:
P: 0.345 0.845 0.000
P: 0.655 0.155 0.000
P: 0.155 0.345 0.000
P: 0.845 0.655 0.000
Tl: 0.500 0.500 0.000
Tl: 0.000 0.000 0.000
Mg: 0.139 0.639 0.500
Mg: 0.861 0.361 0.500
Mg: 0.361 0.139 0.500
Mg: 0.639 0.861 0.500

Output
- Symmetry: No. 127
- Relative energy among the computed polymorphs: 0.123 eV/atom

---

2.
A plane-wave DFT calculation with PBE was carried out for an optimized crystal structure of Mg2TlP.

abc: 4.935 4.935 4.935
angles: 60.00 60.00 60.00
Fractional coordinates of all 4 atoms:
Mg: 0.250 0.250 0.250
Mg: 0.750 0.750 0.750
P: 0.000 0.000 0.000
Tl: 0.500 0.500 0.500

Output
- Symmetry: No. 225

---

3.
A plane-wave DFT calculation with PBE was carried out for an optimized crystal structure of Mg2TlP.

abc: 3.789 3.864 6.505
angles: 71.56 90.00 90.00
Fractional coordinates of all 4 atoms:
Tl: 0.500 0.750 0.750
Mg: 0.000 0.420 0.466
Mg: 0.000 0.080 0.034
P: 0.500 0.250 0.250

Output
- Symmetry: No. 10

---

4.
A plane-wave DFT calculation with PBE was carried out for an optimized crystal structure of Mg4TlP.

abc: 5.764 5.764 5.764
angles: 60.00 60.00 60.00
Fractional coordinates of all 6 atoms:
Mg: 0.873 0.376 0.376
Mg: 0.376 0.873 0.376
Mg: 0.376 0.376 0.873
Mg: 0.376 0.376 0.376
P: 0.750 0.750 0.750
Tl: 0.000 0.000 0.000

Output
- Symmetry: No. 216

---

5.
A plane-wave DFT calculation with PBE was carried out for an optimized crystal structure of Mg2TlP.

abc: 4.691 4.691 3.814
angles: 89.97 89.97 90.02
Fractional coordinates of all 4 atoms:
Tl: 0.000 0.500 0.500
Mg: 0.000 0.000 0.000
Mg: 0.500 0.500 0.000
P: 0.500 0.000 0.500

Output
- Symmetry: No. 123

---

6.
A plane-wave DFT calculation with PBE was carried out for an optimized crystal structure of Mg2TlP.

abc: 5.046 5.046 5.046
angles: 60.00 60.00 60.00
Fractional coordinates of all 4 atoms:
Tl: 0.750 0.750 0.750
P: 0.500 0.500 0.500
Mg: 0.000 0.000 0.000
Mg: 0.250 0.250 0.250

Output
- Symmetry: No. 216

---

7.
A plane-wave DFT calculation with PBE was carried out for an optimized crystal structure of MgTlP.

abc: 4.310 4.310 10.205
angles: 102.28 90.00 120.00
Fractional coordinates of all 6 atoms:
Tl: 0.618 0.235 0.853
Tl: 0.382 0.765 0.147
P: 0.891 0.781 0.670
P: 0.109 0.219 0.330
Mg: 0.199 0.399 0.597
Mg: 0.801 0.601 0.403

Output
- Symmetry: No. 12

---

8.
A plane-wave DFT calculation with PBE was carried out for an optimized crystal structure of MgTlP.

abc: 4.780 4.780 4.780
angles: 60.00 60.00 60.00
Fractional coordinates of all 3 atoms:
Tl: 0.000 0.000 0.000
P: 0.750 0.750 0.750
Mg: 0.500 0.500 0.500

Output
- Symmetry: No. 216

---

9.
A plane-wave DFT calculation with PBE was carried out for an optimized crystal structure of Mg2TlP.

abc: 3.283 3.524 7.352
angles: 90.00 90.00 90.00
Fractional coordinates of all 4 atoms:
Tl: 0.500 0.500 0.750
Mg: 0.000 0.000 0.446
Mg: 0.000 0.000 0.054
P: 0.500 0.500 0.250

Output
- Symmetry: No. 47

---

10.
A plane-wave DFT calculation with PBE was carried out for an optimized crystal structure of MgTl3P.

abc: 5.419 5.419 5.419
angles: 90.00 90.00 90.00
Fractional coordinates of all 5 atoms:
Tl: 0.500 0.000 0.000
Tl: 0.000 0.500 0.000
Tl: 0.000 0.000 0.500
Mg: 0.500 0.500 0.500
P: 0.000 0.000 0.000

Output
- Symmetry: No. 221
- Relative energy among the computed polymorphs: 0.000 eV/atom

---

11.
A plane-wave DFT calculation with PBE was carried out for an optimized crystal structure of Mg2TlP2.

abc: 4.698 4.698 5.788
angles: 66.05 66.05 90.00
Fractional coordinates of all 5 atoms:
Mg: 0.750 0.250 0.500
Mg: 0.250 0.750 0.500
Tl: 0.000 0.000 0.000
P: 0.381 0.381 0.239
P: 0.619 0.619 0.761

Output
- Symmetry: No. 139
- Relative energy among the computed polymorphs: 0.000 eV/atom

---

12.
A plane-wave DFT calculation with PBE was carried out for an optimized crystal structure of Mg2TlP.

abc: 3.935 3.935 7.441
angles: 74.29 74.29 60.12
Fractional coordinates of all 4 atoms:
P: 0.250 0.250 0.250
Tl: 0.750 0.750 0.750
Mg: 0.975 0.975 0.079
Mg: 0.525 0.525 0.421

Output
- Symmetry: No. 12

---

13.
A plane-wave DFT calculation with PBE was carried out for an optimized crystal structure of TmMgP.

abc: 4.706 4.706 8.943
angles: 74.74 74.74 60.00
Fractional coordinates of all 6 atoms:
Mg: 0.814 0.814 0.557
Mg: 0.186 0.186 0.443
P: 0.716 0.716 0.852
P: 0.284 0.284 0.148
Tm: 0.610 0.610 0.169
Tm: 0.390 0.390 0.831

Output
- Symmetry: No. 166

---

14.
A plane-wave DFT calculation with PBE was carried out for an optimized crystal structure of Tm2MgP.

abc: 3.704 3.704 10.006
angles: 79.33 79.33 60.00
Fractional coordinates of all 4 atoms:
Tm: 0.888 0.888 0.336
Tm: 0.112 0.112 0.664
Mg: 0.000 0.000 0.000
P: 0.500 0.500 0.500

Output
- Symmetry: No. 166

---

15.
A plane-wave DFT calculation with PBE was carried out for an optimized crystal structure of Tm2MgZrP4.

abc: 3.865 6.728 6.661
angles: 109.77 90.00 90.00
Fractional coordinates of all 8 atoms:
Mg: 0.500 0.500 0.000
Tm: 0.500 0.000 0.500
Tm: 0.000 0.500 0.500
P: 0.500 0.757 0.760
P: 0.000 0.749 0.238
P: 0.500 0.243 0.240
P: 0.000 0.251 0.762
Zr: 0.000 0.000 0.000

Output
- Symmetry: No. 10

---

16.
A plane-wave DFT calculation with PBE was carried out for an optimized crystal structure of MgVP3.

abc: 4.699 4.699 4.699
angles: 90.00 90.00 90.00
Each line ends with the local moment (μB).
Fractional coordinates of all 5 atoms:
P: 0.500 0.000 0.000  -0.08
P: 0.000 0.000 0.500  -0.08
P: 0.000 0.500 0.000  -0.08
V: 0.500 0.500 0.500  2.78
Mg: 0.000 0.000 0.000  0.01

Output
- Symmetry: No. 221
- Relative energy among the computed polymorphs: 0.973 eV/atom

---

17.
A plane-wave DFT calculation with PBE was carried out for an optimized crystal structure of MgV3P.

abc: 4.573 4.573 4.573
angles: 90.00 90.00 90.00
Each line ends with the local moment (μB).
Fractional coordinates of all 5 atoms:
V: 0.000 0.000 0.500  1.67
V: 0.500 0.000 0.000  1.67
V: 0.000 0.500 0.000  1.67
P: 0.500 0.500 0.500  -0.11
Mg: 0.000 0.000 0.000  0.02

Output
- Symmetry: No. 221
- Relative energy among the computed polymorphs: 1.605 eV/atom

---

18.
A plane-wave DFT calculation with PBE was carried out for an optimized crystal structure of MgV3P.

abc: 4.417 4.417 4.417
angles: 90.00 90.00 90.00
Each line ends with the local moment (μB).
Fractional coordinates of all 5 atoms:
V: 0.000 0.500 0.000  1.03
V: 0.500 0.000 0.000  1.03
V: 0.000 0.000 0.500  1.03
Mg: 0.500 0.500 0.500  -0.02
P: 0.000 0.000 0.000  -0.05

Output
- Symmetry: No. 221
- Relative energy among the computed polymorphs: 0.000 eV/atom

---

19.
A plane-wave DFT calculation with PBE was carried out for an optimized crystal structure of Mg2VP.

abc: 8.501 8.501 6.462
angles: 48.87 48.87 90.00
Each line ends with the local moment (μB).
Fractional coordinates of all 8 atoms:
Mg: 0.875 0.778 0.750  -0.02
Mg: 0.222 0.625 0.250  -0.02
Mg: 0.528 0.125 0.250  -0.02
Mg: 0.375 0.472 0.750  -0.02
P: 0.250 0.750 0.500  -0.09
P: 0.500 0.500 0.000  -0.09
V: 0.000 0.000 0.000  2.34
V: 0.750 0.250 0.500  2.34

Output
- Symmetry: No. 122

---

20.
A plane-wave DFT calculation with PBE was carried out for an optimized crystal structure of MgVP3.

abc: 4.560 4.560 4.560
angles: 90.00 90.00 90.00
Fractional coordinates of all 5 atoms:
Mg: 0.500 0.500 0.500
P: 0.000 0.000 0.500
P: 0.500 0.000 0.000
P: 0.000 0.500 0.000
V: 0.000 0.000 0.000

Output
- Symmetry: No. 221
- Relative energy among the computed polymorphs: 0.000 eV/atom

---

21.
A plane-wave DFT calculation with PBE was carried out for an optimized crystal structure of MgV2P.

abc: 4.292 4.292 4.292
angles: 60.00 60.00 60.00
Each line ends with the local moment (μB).
Fractional coordinates of all 4 atoms:
V: 0.250 0.250 0.250  1.25
V: 0.750 0.750 0.750  1.25
Mg: 0.000 0.000 0.000  0.04
P: 0.500 0.500 0.500  -0.03

Output
- Symmetry: No. 225
- Relative energy among the computed polymorphs: 0.000 eV/atom

---

22.
A plane-wave DFT calculation with PBE was carried out for an optimized crystal structure of MgV2P.

abc: 3.894 3.894 9.355
angles: 77.99 77.99 90.00
Fractional coordinates of all 8 atoms:
Mg: 0.500 0.500 0.000
Mg: 0.250 0.750 0.500
V: 0.766 0.125 0.250
V: 0.984 0.625 0.250
V: 0.375 0.234 0.750
V: 0.875 0.016 0.750
P: 0.750 0.250 0.500
P: 0.000 0.000 0.000

Output
- Symmetry: No. 122
- Relative energy among the computed polymorphs: 0.082 eV/atom

---

23.
A plane-wave DFT calculation with PBE was carried out for an optimized crystal structure of Mg2VP2.

abc: 6.357 6.357 3.875
angles: 90.00 90.00 90.00
Fractional coordinates of all 10 atoms:
P: 0.146 0.354 0.000
P: 0.854 0.646 0.000
P: 0.646 0.146 0.000
P: 0.354 0.854 0.000
Mg: 0.168 0.668 0.500
Mg: 0.668 0.832 0.500
Mg: 0.832 0.332 0.500
Mg: 0.332 0.168 0.500
V: 0.000 0.000 0.000
V: 0.500 0.500 0.000

Output
- Symmetry: No. 127

---

24.
A plane-wave DFT calculation with PBE was carried out for an optimized crystal structure of MgP2W.

abc: 4.553 4.553 4.553
angles: 131.99 118.70 81.41
Fractional coordinates of all 4 atoms:
P: 0.010 0.010 0.000
P: 0.490 0.490 0.000
Mg: 0.250 0.750 0.500
W: 0.750 0.250 0.500

Output
- Symmetry: No. 71

---

25.
A plane-wave DFT calculation with PBE was carried out for an optimized crystal structure of MgP2W.

abc: 3.116 3.117 6.774
angles: 70.86 90.00 90.00
Fractional coordinates of all 4 atoms:
W: 0.500 0.250 0.250
P: 0.000 0.592 0.462
P: 0.000 0.908 0.038
Mg: 0.500 0.750 0.750

Output
- Symmetry: No. 10

---

26.
A plane-wave DFT calculation with PBE was carried out for an optimized crystal structure of MgP2W.

abc: 5.335 5.335 5.335
angles: 140.47 140.47 57.13
Fractional coordinates of all 4 atoms:
P: 0.000 0.000 0.000
P: 0.250 0.750 0.500
Mg: 0.750 0.250 0.500
W: 0.500 0.500 0.000

Output
- Symmetry: No. 119

---

27.
A plane-wave DFT calculation with PBE was carried out for an optimized crystal structure of MgPW3.

abc: 4.581 4.581 4.581
angles: 90.00 90.00 90.00
Each line ends with the local moment (μB).
Fractional coordinates of all 5 atoms:
W: 0.500 0.000 0.000  0.32
W: 0.000 0.500 0.000  0.33
W: 0.000 0.000 0.500  0.38
P: 0.500 0.500 0.500  -0.01
Mg: 0.000 0.000 0.000  0.03

Output
- Symmetry: No. 221
- Relative energy among the computed polymorphs: 1.992 eV/atom

---

28.
A plane-wave DFT calculation with PBE was carried out for an optimized crystal structure of MgPW4.

abc: 5.316 5.316 5.316
angles: 60.00 60.00 60.00
Fractional coordinates of all 6 atoms:
W: 0.376 0.376 0.872
W: 0.376 0.376 0.376
W: 0.376 0.872 0.376
W: 0.872 0.376 0.376
Mg: 0.750 0.750 0.750
P: 0.000 0.000 0.000

Output
- Symmetry: No. 216

---

Taking the records one at a time from the top gives calculated total energy values of -34.362, -10.916, -11.459, -12.911, -11.164, -10.289, -20.810, -9.364, -11.440, -12.136, -17.795, -12.028, -26.719, -17.806, -50.595, -21.458, -25.324, -33.349, -34.266, -26.321, -24.397, -48.135, -50.524, -25.102, -26.410, -24.350, -31.762, -54.087 eV for the cell shown.
Taking the records one at a time from the top gives energy of formation from the pure elements values of -161, 12, -123, 207, -50, 169, -345, 2, -119, 393, -284, -266, -628, -465, -1234, 1097, 1807, 202, 146, 124, 211, 293, -427, 66, -261, 254, 2820, 788 meV per atom.